1.
Density functional theory data (GGA-PBE) for a relaxed Pm8Ge3TeSe4 crystal.

a = 8.5614 Å, b = 8.5364 Å, c = 8.5619 Å
α = 120.10°, β = 120.00°, γ = 90.00°
Closest atoms and distances in Å follow each position.
Fractional coordinates of all 16 atoms:
1 Pm 0.2552 0.7455 0.9903  3 Se 2.96-3.08, 2 Ge 2.97, 1 Te 3.09
2 Pm 0.2552 0.7455 0.5105  3 Se 2.96-3.08, 2 Ge 2.97, 1 Te 3.09
3 Pm 0.2533 0.2597 0.5065  3 Ge 2.98, 3 Se 3.06
4 Pm 0.7351 0.7455 0.9903  3 Se 2.96-3.08, 2 Ge 2.97, 1 Te 3.09
5 Pm 0.2649 0.2545 0.0097  3 Se 2.96-3.08, 2 Ge 2.97, 1 Te 3.09
6 Pm 0.7467 0.7403 0.4935  3 Ge 2.98, 3 Se 3.06
7 Pm 0.7448 0.2545 0.4895  3 Se 2.96-3.08, 2 Ge 2.97, 1 Te 3.09
8 Pm 0.7448 0.2545 0.0097  3 Se 2.96-3.08, 2 Ge 2.97, 1 Te 3.09
9 Ge 0.5000 0.5000 0.0000  6 Pm 2.97-2.98
10 Ge 0.5000 0.5000 0.5000  6 Pm 2.97-2.98
11 Ge 0.0000 0.5000 0.5000  6 Pm 2.97-2.98
12 Te 0.0000 0.5000 0.0000  6 Pm 3.09
13 Se 0.5000 0.0000 0.0000  6 Pm 2.96
14 Se 0.5000 0.0000 0.5000  6 Pm 3.06-3.08
15 Se 0.0000 0.0000 0.0000  6 Pm 3.06-3.08
16 Se 0.0000 0.0000 0.5000  6 Pm 3.06-3.08

Values from the calculation:
Total energy (eV per atom): -5.80
ΔE_f (raw) (eV/atom): -1.49
Fermi-level density of states (states/eV per cell): 2.0



2.
Density functional theory data (GGA-PBE) for a relaxed Pm6GeTe2Se3 crystal.

a = 7.4994 Å, b = 7.4994 Å, c = 7.4101 Å
α = 99.71°, β = 99.71°, γ = 119.95°
Closest atoms and distances in Å follow each position.
Fractional coordinates of all 12 atoms:
1 Pm 0.9139 0.6042 0.7400  3 Se 2.94-3.09, 1 Ge 2.95, 2 Te 3.17
2 Pm 0.7779 0.7779 0.2615  1 Ge 2.95, 3 Se 3.00-3.16, 2 Te 3.16
3 Pm 0.0861 0.3958 0.2600  3 Se 2.94-3.09, 1 Ge 2.95, 2 Te 3.17
4 Pm 0.6042 0.9139 0.7400  3 Se 2.94-3.09, 1 Ge 2.95, 2 Te 3.17
5 Pm 0.2221 0.2221 0.7385  1 Ge 2.95, 3 Se 3.00-3.16, 2 Te 3.16
6 Pm 0.3958 0.0861 0.2600  3 Se 2.94-3.09, 1 Ge 2.95, 2 Te 3.17
7 Ge 0.0000 0.0000 0.0000  6 Pm 2.95
8 Te 0.3342 0.6658 0.0000  6 Pm 3.16-3.17
9 Te 0.6658 0.3342 0.0000  6 Pm 3.16-3.17
10 Se 0.1737 0.8263 0.5000  6 Pm 2.94-3.09
11 Se 0.8263 0.1737 0.5000  6 Pm 2.94-3.09
12 Se 0.5000 0.5000 0.5000  6 Pm 2.94-3.16

Values from the calculation:
Total energy (eV per atom): -5.74
ΔE_f (raw) (eV/atom): -1.58
Fermi-level density of states (states/eV per cell): 5.9



3.
Density functional theory data (GGA-PBE) for a relaxed Pm8GeTe3Se3 crystal.

a = 8.5413 Å, b = 8.5406 Å, c = 8.7187 Å
α = 119.34°, β = 90.00°, γ = 120.00°
Closest atoms and distances in Å follow each position.
Fractional coordinates of all 15 atoms:
1 Pm 0.2603 0.5207 0.2812  3 Se 2.92, 3 Te 3.19
2 Pm 0.7397 0.4793 0.7188  3 Se 2.92, 3 Te 3.19
3 Pm 0.7597 0.5194 0.2755  1 Ge 2.93, 2 Se 2.95, 2 Te 3.16
4 Pm 0.2403 0.4806 0.7245  1 Ge 2.93, 2 Se 2.95, 2 Te 3.16
5 Pm 0.7599 0.0158 0.2757  1 Ge 2.93, 2 Se 2.95, 2 Te 3.16
6 Pm 0.2401 0.9842 0.7243  1 Ge 2.93, 2 Se 2.95, 2 Te 3.16
7 Pm 0.2559 0.0158 0.2757  1 Ge 2.93, 2 Se 2.95, 2 Te 3.16
8 Pm 0.7441 0.9842 0.7243  1 Ge 2.93, 2 Se 2.95, 2 Te 3.16
9 Ge 0.0000 0.0000 0.5000  6 Pm 2.93
10 Te 0.0000 0.0000 0.0000  6 Pm 3.16-3.19
11 Te 0.0000 0.5000 0.0000  6 Pm 3.16-3.19
12 Te 0.5000 0.5000 0.0000  6 Pm 3.16-3.19
13 Se 0.5000 0.0000 0.5000  6 Pm 2.92-2.95
14 Se 0.5000 0.5000 0.5000  6 Pm 2.92-2.95
15 Se 0.0000 0.5000 0.5000  6 Pm 2.92-2.95

Values from the calculation:
Total energy (eV per atom): -5.60
ΔE_f (raw) (eV/atom): -1.43
Fermi-level density of states (states/eV per cell): 6.8



4.
Density functional theory data (GGA-PBE) for a relaxed Pm3Tl3GeSe8 crystal.

a = 8.4024 Å, b = 8.4050 Å, c = 9.1645 Å
α = 117.30°, β = 89.97°, γ = 119.99°
Closest atoms and distances in Å follow each position.
Fractional coordinates of all 15 atoms:
1 Pm 0.5000 0.0000 0.5000  6 Se 2.94-2.96
2 Pm 0.5000 0.5000 0.5000  6 Se 2.94-2.96
3 Pm 0.0000 0.5000 0.5000  6 Se 2.94-2.96
4 Tl 0.0000 0.0000 0.0000  6 Se 3.30-3.32
5 Tl 0.0000 0.5000 0.0000  6 Se 3.30-3.32
6 Tl 0.5000 0.5000 0.0000  6 Se 3.30-3.32
7 Ge 0.0000 0.0000 0.5000  6 Se 2.68
8 Se 0.2625 0.5250 0.2874  3 Pm 2.94
9 Se 0.7375 0.4750 0.7126  3 Pm 2.94
10 Se 0.7829 0.5658 0.3044  1 Ge 2.68, 2 Pm 2.96
11 Se 0.2171 0.4342 0.6956  1 Ge 2.68, 2 Pm 2.96
12 Se 0.7830 0.0216 0.3045  1 Ge 2.68, 2 Pm 2.96
13 Se 0.2170 0.9784 0.6955  1 Ge 2.68, 2 Pm 2.96
14 Se 0.2386 0.0216 0.3045  1 Ge 2.68, 2 Pm 2.96
15 Se 0.7614 0.9784 0.6955  1 Ge 2.68, 2 Pm 2.96

Values from the calculation:
Total energy (eV per atom): -4.66
ΔE_f (raw) (eV/atom): -1.07
Fermi-level density of states (states/eV per cell): 3.8



5.
Density functional theory data (GGA-PBE) for a relaxed Pm6TlGe2Se3 crystal.

a = 4.2567 Å, b = 8.6463 Å, c = 9.6418 Å
α = 105.18°, β = 102.75°, γ = 90.00°
Closest atoms and distances in Å follow each position.
Fractional coordinates of all 12 atoms:
1 Pm 0.3280 0.9094 0.6560  3 Se 2.93-3.08, 2 Ge 2.99, 1 Tl 3.12
2 Pm 0.6699 0.5738 0.3398  3 Ge 2.99, 3 Se 3.08-3.09
3 Pm 0.6720 0.0906 0.3440  3 Se 2.93-3.08, 2 Ge 2.99, 1 Tl 3.12
4 Pm 0.0005 0.2658 0.0010  3 Se 2.94-3.03, 1 Ge 2.99, 2 Tl 3.13
5 Pm 0.9995 0.7342 0.9990  3 Se 2.94-3.03, 1 Ge 2.99, 2 Tl 3.13
6 Pm 0.3301 0.4262 0.6602  3 Ge 2.99, 3 Se 3.08-3.09
7 Tl 0.5000 0.0000 0.0000  6 Pm 3.12-3.13
8 Ge 0.8350 0.6716 0.6700  6 Pm 2.99
9 Ge 0.1650 0.3283 0.3300  6 Pm 2.99
10 Se 0.5000 0.5000 0.0000  6 Pm 2.94-3.09
11 Se 0.8335 0.1704 0.6670  6 Pm 2.93-3.08
12 Se 0.1665 0.8296 0.3330  6 Pm 2.93-3.08

Values from the calculation:
Total energy (eV per atom): -5.49
ΔE_f (raw) (eV/atom): -1.28
Fermi-level density of states (states/eV per cell): 5.8



6.
Density functional theory data (GGA-PBE) for a relaxed Pm3Si2Ge crystal.

a = 4.1673 Å, b = 11.9130 Å, c = 11.8465 Å
α = 90.00°, β = 90.00°, γ = 90.00°
Closest atoms and distances in Å follow each position.
Fractional coordinates of all 24 atoms:
1 Pm 0.2500 0.3788 0.0596  5 Si 3.01-3.25, 1 Ge 3.08
2 Pm 0.7500 0.6212 0.9404  5 Si 3.01-3.25, 1 Ge 3.08
3 Pm 0.7500 0.8788 0.4404  5 Si 3.01-3.25, 1 Ge 3.08
4 Pm 0.2500 0.1212 0.5596  5 Si 3.01-3.25, 1 Ge 3.08
5 Pm 0.2500 0.7028 0.2027  4 Si 2.94-3.27, 2 Ge 2.99
6 Pm 0.7500 0.2972 0.7973  4 Si 2.94-3.27, 2 Ge 2.99
7 Pm 0.7500 0.2028 0.2973  4 Si 2.94-3.27, 2 Ge 2.99
8 Pm 0.2500 0.7972 0.7027  4 Si 2.94-3.27, 2 Ge 2.99
9 Pm 0.2500 0.4417 0.3811  3 Ge 3.07-3.09, 5 Si 3.10-3.18
10 Pm 0.7500 0.5583 0.6189  3 Ge 3.07-3.09, 5 Si 3.10-3.18
11 Pm 0.7500 0.9417 0.1189  3 Ge 3.07-3.09, 5 Si 3.10-3.18
12 Pm 0.2500 0.0583 0.8811  3 Ge 3.07-3.09, 5 Si 3.10-3.18
13 Si 0.2500 0.6905 0.4787  2 Ge 2.56
14 Si 0.7500 0.3095 0.5213  2 Ge 2.56
15 Si 0.7500 0.1905 0.0213  2 Ge 2.56
16 Si 0.2500 0.8095 0.9787  2 Ge 2.56
17 Si 0.2500 0.0070 0.3103  1 Ge 2.57
18 Si 0.7500 0.9930 0.6897  1 Ge 2.57
19 Si 0.7500 0.5070 0.1897  1 Ge 2.57
20 Si 0.2500 0.4930 0.8103  1 Ge 2.57
21 Ge 0.2500 0.1301 0.1320  3 Si 2.56-2.57
22 Ge 0.7500 0.8699 0.8680  3 Si 2.56-2.57
23 Ge 0.7500 0.6301 0.3680  3 Si 2.56-2.57
24 Ge 0.2500 0.3699 0.6320  3 Si 2.56-2.57

Values from the calculation:
Total energy (eV per atom): -5.62
ΔE_f (raw) (eV/atom): -0.67
Fermi-level density of states (states/eV per cell): 18.3



7.
Density functional theory data (GGA-PBE) for a relaxed PmSiGe crystal.

a = 4.0701 Å, b = 6.0150 Å, c = 6.0150 Å
α = 81.20°, β = 70.23°, γ = 70.23°
Closest atoms and distances in Å follow each position.
Fractional coordinates of all 6 atoms:
1 Pm 0.7517 0.2483 0.2483  6 Si 3.11-3.42, 6 Ge 3.19-3.27
2 Pm 0.2483 0.7517 0.7517  6 Si 3.11-3.42, 6 Ge 3.19-3.27
3 Si 0.5000 0.8488 0.1512  1 Si 2.37, 2 Ge 2.46
4 Si 0.5000 0.1512 0.8488  1 Si 2.37, 2 Ge 2.46
5 Ge 0.0000 0.3278 0.6722  2 Si 2.46, 1 Ge 2.70
6 Ge 0.0000 0.6722 0.3278  2 Si 2.46, 1 Ge 2.70

Values from the calculation:
Total energy (eV per atom): -5.50
ΔE_f (raw) (eV/atom): -0.57
Fermi-level density of states (states/eV per cell): 2.8



8.
Density functional theory data (GGA-PBE) for a relaxed Pm7SiGe3 crystal.

a = 6.3783 Å, b = 7.3146 Å, c = 7.3146 Å
α = 97.92°, β = 105.13°, γ = 105.13°
Closest atoms and distances in Å follow each position.
Fractional coordinates of all 11 atoms:
1 Pm 0.2010 0.1699 0.1699  3 Ge 2.96-3.02, 1 Si 2.98, 1 Pm 3.25
2 Pm 0.3012 0.0608 0.6078  3 Ge 2.94-3.05, 1 Pm 3.18
3 Pm 0.6988 0.3922 0.9392  3 Ge 2.94-3.05, 1 Pm 3.18
4 Pm 0.3012 0.6078 0.0608  3 Ge 2.94-3.05, 1 Pm 3.18
5 Pm 0.0000 0.5000 0.5000  2 Ge 2.97, 2 Si 3.19
6 Pm 0.6988 0.9392 0.3922  3 Ge 2.94-3.05, 1 Pm 3.18
7 Pm 0.7990 0.8301 0.8301  3 Ge 2.96-3.02, 1 Si 2.98, 1 Pm 3.25
8 Si 0.5000 0.5000 0.5000  4 Pm 2.98-3.19
9 Ge 0.0000 0.7692 0.2308  7 Pm 2.94-3.05
10 Ge 0.5000 0.0000 0.0000  6 Pm 2.96
11 Ge 0.0000 0.2308 0.7692  7 Pm 2.94-3.05

Values from the calculation:
Total energy (eV per atom): -5.23
ΔE_f (raw) (eV/atom): -0.45
Fermi-level density of states (states/eV per cell): 9.0



9.
Density functional theory data (GGA-PBE) for a relaxed PmSiGe crystal.

a = 4.0248 Å, b = 4.3142 Å, c = 4.3142 Å
α = 120.00°, β = 90.00°, γ = 90.00°
Closest atoms and distances in Å follow each position.
Fractional coordinates of all 3 atoms:
1 Ge 0.8335 0.0000 0.0000  3 Si 2.49
2 Si 0.8332 0.6667 0.3333  3 Ge 2.49
3 Pm 0.3333 0.3333 0.6667  6 Ge 3.20, 6 Si 3.20

Values from the calculation:
Total energy (eV per atom): -5.46
ΔE_f (raw) (eV/atom): -0.53
Fermi-level density of states (states/eV per cell): 2.5



10.
Density functional theory data (GGA-PBE) for a relaxed PmSiGe crystal.

a = 4.6467 Å, b = 4.3887 Å, c = 8.5886 Å
α = 81.77°, β = 74.30°, γ = 58.04°
Closest atoms and distances in Å follow each position.
Fractional coordinates of all 6 atoms:
1 Si 0.7500 0.5000 0.5000  2 Si 2.32
2 Si 0.2500 0.5000 0.5000  2 Si 2.32
3 Ge 0.8325 0.3350 0.0000  3 Ge 2.49-2.63
4 Ge 0.1675 0.6650 0.0000  3 Ge 2.49-2.63
5 Pm 0.6220 0.0000 0.7560  4 Si 3.05, 6 Ge 3.19-3.32
6 Pm 0.3780 0.0000 0.2440  4 Si 3.05, 6 Ge 3.19-3.32

Values from the calculation:
Total energy (eV per atom): -5.26
ΔE_f (raw) (eV/atom): -0.33
Fermi-level density of states (states/eV per cell): 4.2